{
  "formula": "Ba5Li2W3O15",
  "functional": "PBE with a Hubbard U",
  "state": "relaxed",
  "space_group": "P6_3mc, No. 186",
  "density_g_cm3": 6.88,
  "dft_energy_ev_per_cell": -344.7,
  "lattice_angstrom": [[5.845, 0.000, 0.000], [-2.923, 5.062, 0.000], [0.000, 0.000, 24.339]],
  "species": ["Ba", "Ba", "Ba", "Ba", "Ba", "Ba", "Ba", "Ba", "Ba", "Ba", "Li", "Li", "Li", "Li", "W", "W", "W", "W", "W", "W", "O", "O", "O", "O", "O", "O", "O", "O", "O", "O", "O", "O", "O", "O", "O", "O", "O", "O", "O", "O", "O", "O", "O", "O", "O", "O", "O", "O", "O", "O"],
  "frac_coords": [[0.000, 0.000, 0.000], [0.000, 0.000, 0.199], [0.000, 0.000, 0.500], [0.000, 0.000, 0.699], [0.333, 0.667, 0.107], [0.333, 0.667, 0.392], [0.333, 0.667, 0.797], [0.667, 0.333, 0.297], [0.667, 0.333, 0.607], [0.667, 0.333, 0.892], [0.000, 0.000, 0.339], [0.000, 0.000, 0.839], [0.333, 0.667, 0.669], [0.667, 0.333, 0.169], [0.333, 0.667, 0.251], [0.333, 0.667, 0.551], [0.333, 0.667, 0.948], [0.667, 0.333, 0.051], [0.667, 0.333, 0.448], [0.667, 0.333, 0.751], [0.000, 0.500, 0.499], [0.000, 0.500, 0.999], [0.019, 0.509, 0.203], [0.176, 0.352, 0.297], [0.176, 0.824, 0.297], [0.177, 0.354, 0.907], [0.177, 0.355, 0.591], [0.177, 0.823, 0.591], [0.177, 0.823, 0.907], [0.352, 0.176, 0.797], [0.354, 0.177, 0.407], [0.355, 0.177, 0.091], [0.491, 0.509, 0.203], [0.491, 0.981, 0.203], [0.500, 0.000, 0.499], [0.500, 0.000, 0.999], [0.500, 0.500, 0.499], [0.500, 0.500, 0.999], [0.509, 0.019, 0.703], [0.509, 0.491, 0.703], [0.645, 0.823, 0.591], [0.646, 0.823, 0.907], [0.648, 0.824, 0.297], [0.823, 0.177, 0.091], [0.823, 0.177, 0.407], [0.823, 0.645, 0.091], [0.823, 0.646, 0.407], [0.824, 0.176, 0.797], [0.824, 0.648, 0.797], [0.981, 0.491, 0.703]]
}